(1)
Entry from Alexandria via LeMat-Bulk: an optimized crystal structure of Rb2NaLi (PBE-GGA). Values from VASP.

Geometry as Quantum ESPRESSO input:
```
&SYSTEM
  ibrav = 0, nat = 4, ntyp = 3
/
ATOMIC_SPECIES
Rb 85.47 Rb.upf
Na 22.99 Na.upf
Li 6.94 Li.upf
ATOMIC_POSITIONS crystal
Rb 0.000 0.000 0.000
Rb 0.157 0.157 0.473
Na 0.579 0.579 0.736
Li 0.412 0.412 0.237
CELL_PARAMETERS angstrom
3.877 -2.249 0.000
3.877 2.249 0.000
-2.563 0.000 13.147
```

Values from the calculation:
For the formation energy, the calculation gives 0.183 eV/atom. The calculation puts the energy above the lowest structure with this stoichiometry at 0.22 eV/f.u.

=====

(2)
Entry from Alexandria via LeMat-Bulk: an optimized crystal structure of Rb2NaLi (PBE-GGA). Values from VASP.

Geometry as Quantum ESPRESSO input:
```
&SYSTEM
  ibrav = 0, nat = 4, ntyp = 3
/
ATOMIC_SPECIES
Rb 85.47 Rb.upf
Na 22.99 Na.upf
Li 6.94 Li.upf
ATOMIC_POSITIONS crystal
Rb 0.250 0.250 0.250
Rb 0.750 0.750 0.750
Na 0.000 0.000 0.000
Li 0.500 0.500 0.500
CELL_PARAMETERS angstrom
0.000 4.856 4.856
4.856 0.000 4.856
4.856 4.856 0.000
```

Values from the calculation:
For the formation energy, the calculation gives 0.133 eV/atom. The calculation puts the energy above the lowest structure with this stoichiometry at 0.02 eV/f.u.

=====

(3)
Entry from Alexandria via LeMat-Bulk: an optimized crystal structure of RbNaLi (PBE-GGA). Values from VASP.

Geometry as Quantum ESPRESSO input:
```
&SYSTEM
  ibrav = 0, nat = 3, ntyp = 3
/
ATOMIC_SPECIES
Rb 85.47 Rb.upf
Na 22.99 Na.upf
Li 6.94 Li.upf
ATOMIC_POSITIONS crystal
Rb 0.000 0.000 0.000
Na 0.667 0.333 0.492
Li 0.333 0.667 0.509
CELL_PARAMETERS angstrom
6.116 0.000 0.000
-3.058 5.296 0.000
0.000 0.000 4.457
```

Values from the calculation:
For the formation energy, the calculation gives 0.148 eV/atom. The calculation puts the energy above the lowest structure with this stoichiometry at 0.10 eV/f.u.

=====

(4)
Entry from Alexandria via LeMat-Bulk: an optimized crystal structure of RbNa2Li (PBE-GGA). Values from VASP.

Geometry as Quantum ESPRESSO input:
```
&SYSTEM
  ibrav = 0, nat = 4, ntyp = 3
/
ATOMIC_SPECIES
Rb 85.47 Rb.upf
Na 22.99 Na.upf
Li 6.94 Li.upf
ATOMIC_POSITIONS crystal
Rb 0.000 0.000 0.000
Na 0.000 0.500 0.500
Na 0.500 0.000 0.500
Li 0.500 0.500 0.000
CELL_PARAMETERS angstrom
5.634 0.000 0.000
0.000 5.634 0.000
0.000 0.000 5.628
```

Values from the calculation:
For the formation energy, the calculation gives 0.139 eV/atom. The calculation puts the energy above the lowest structure with this stoichiometry at 0.22 eV/f.u.

=====

(5)
Entry from Alexandria via LeMat-Bulk: an optimized crystal structure of RbNa14Li (PBE-GGA). Values from VASP.

Geometry as Quantum ESPRESSO input:
```
&SYSTEM
  ibrav = 0, nat = 16, ntyp = 3
/
ATOMIC_SPECIES
Rb 85.47 Rb.upf
Na 22.99 Na.upf
Li 6.94 Li.upf
ATOMIC_POSITIONS crystal
Rb 0.000 0.000 0.000
Na 0.000 0.000 0.500
Na 0.000 0.500 0.000
Na 0.000 0.500 0.500
Na 0.270 0.270 0.256
Na 0.270 0.270 0.744
Na 0.270 0.730 0.256
Na 0.270 0.730 0.744
Na 0.500 0.000 0.000
Na 0.500 0.000 0.500
Na 0.500 0.500 0.500
Na 0.730 0.270 0.256
Na 0.730 0.270 0.744
Na 0.730 0.730 0.256
Na 0.730 0.730 0.744
Li 0.500 0.500 0.000
CELL_PARAMETERS angstrom
8.140 0.000 0.000
0.000 8.140 0.000
0.000 0.000 9.261
```

Values from the calculation:
For the formation energy, the calculation gives 0.036 eV/atom.

=====

(6)
Entry from Alexandria via LeMat-Bulk: an optimized crystal structure of RbNaLi2 (PBE-GGA). Values from VASP.

Geometry as Quantum ESPRESSO input:
```
&SYSTEM
  ibrav = 0, nat = 4, ntyp = 3
/
ATOMIC_SPECIES
Rb 85.47 Rb.upf
Na 22.99 Na.upf
Li 6.94 Li.upf
ATOMIC_POSITIONS crystal
Rb 0.000 0.000 0.000
Na 0.500 0.500 0.000
Li 0.000 0.500 0.500
Li 0.500 0.000 0.500
CELL_PARAMETERS angstrom
5.411 0.000 0.000
0.000 5.411 0.000
0.000 0.000 5.499
```

Values from the calculation:
For the formation energy, the calculation gives 0.205 eV/atom. The calculation puts the energy above the lowest structure with this stoichiometry at 0.27 eV/f.u.

=====

(7)
Entry from Alexandria via LeMat-Bulk: an optimized crystal structure of RbNaLi (PBE-GGA). Values from VASP.

Geometry as Quantum ESPRESSO input:
```
&SYSTEM
  ibrav = 0, nat = 3, ntyp = 3
/
ATOMIC_SPECIES
Rb 85.47 Rb.upf
Na 22.99 Na.upf
Li 6.94 Li.upf
ATOMIC_POSITIONS crystal
Rb 0.000 0.000 0.000
Na 0.713 0.713 0.000
Li 0.305 0.305 0.000
CELL_PARAMETERS angstrom
-2.165 2.165 7.398
2.165 -2.165 7.398
2.165 2.165 -7.398
```

Values from the calculation:
For the formation energy, the calculation gives 0.114 eV/atom. The calculation puts the energy above the lowest structure with this stoichiometry at 0.00 eV/f.u.

=====

(8)
Entry from Alexandria via LeMat-Bulk: an optimized crystal structure of Rb2NaLiS (PBE-GGA). Values from VASP.

Geometry as Quantum ESPRESSO input:
```
&SYSTEM
  ibrav = 0, nat = 5, ntyp = 4
/
ATOMIC_SPECIES
Rb 85.47 Rb.upf
Na 22.99 Na.upf
Li 6.94 Li.upf
S 32.06 S.upf
ATOMIC_POSITIONS crystal
Rb 0.000 0.500 0.000
Rb 0.500 0.000 0.000
Na 0.000 0.000 0.500
Li 0.500 0.500 0.500
S 0.500 0.500 0.000
CELL_PARAMETERS angstrom
6.788 0.000 0.000
0.000 6.788 0.000
0.000 0.000 4.643
```

Values from the calculation:
The value obtained for the formation energy (no corrections) is -271 kJ/mol of formula units.

=====

(9)
Entry from Alexandria via LeMat-Bulk: an optimized crystal structure of RbNa2LiSb (PBE-GGA). Values from VASP.

Geometry as Quantum ESPRESSO input:
```
&SYSTEM
  ibrav = 0, nat = 5, ntyp = 4
/
ATOMIC_SPECIES
Rb 85.47 Rb.upf
Na 22.99 Na.upf
Li 6.94 Li.upf
Sb 121.76 Sb.upf
ATOMIC_POSITIONS crystal
Rb 0.000 0.000 0.000
Na 0.000 0.500 0.500
Na 0.500 0.000 0.500
Li 0.500 0.500 0.000
Sb 0.500 0.500 0.500
CELL_PARAMETERS angstrom
6.120 0.000 0.000
0.000 6.120 0.000
0.000 0.000 5.414
```

Values from the calculation:
The calculation puts the energy above the lowest structure with this stoichiometry at 0.00 eV/f.u. The value obtained for the formation energy (no corrections) is -117 kJ/mol of formula units.

=====

(10)
Entry from Alexandria via LeMat-Bulk: an optimized crystal structure of RbNa2LiSb (PBE-GGA). Values from VASP.

Geometry as Quantum ESPRESSO input:
```
&SYSTEM
  ibrav = 0, nat = 5, ntyp = 4
/
ATOMIC_SPECIES
Rb 85.47 Rb.upf
Na 22.99 Na.upf
Li 6.94 Li.upf
Sb 121.76 Sb.upf
ATOMIC_POSITIONS crystal
Rb 0.000 0.000 0.000
Na 0.000 0.500 0.500
Na 0.500 0.000 0.500
Li 0.500 0.500 0.500
Sb 0.500 0.500 0.000
CELL_PARAMETERS angstrom
5.788 0.000 0.000
0.000 5.788 0.000
0.000 0.000 5.145
```

Values from the calculation:
The calculation puts the energy above the lowest structure with this stoichiometry at 0.37 eV/f.u. The value obtained for the formation energy (no corrections) is -81 kJ/mol of formula units.

=====

(11)
Entry from Alexandria via LeMat-Bulk: an optimized crystal structure of Rb2NaLiSe2 (PBE-GGA). Values from VASP.

Geometry as Quantum ESPRESSO input:
```
&SYSTEM
  ibrav = 0, nat = 12, ntyp = 4
/
ATOMIC_SPECIES
Rb 85.47 Rb.upf
Na 22.99 Na.upf
Li 6.94 Li.upf
Se 78.96 Se.upf
ATOMIC_POSITIONS crystal
Rb 0.171 0.249 0.420
Rb 0.329 0.749 0.077
Rb 0.671 0.251 0.923
Rb 0.829 0.751 0.580
Na 0.250 0.750 0.500
Na 0.750 0.250 0.500
Li 0.250 0.250 0.000
Li 0.750 0.750 0.000
Se 0.097 0.771 0.868
Se 0.403 0.271 0.674
Se 0.597 0.729 0.326
Se 0.903 0.229 0.132
CELL_PARAMETERS angstrom
-3.409 7.719 3.380
3.409 -7.719 3.380
3.409 7.719 -3.380
```

Values from the calculation:
The value obtained for the formation energy (no corrections) is -654 kJ/mol of formula units.

=====

(12)
Entry from Alexandria via LeMat-Bulk: an optimized crystal structure of RbNaLi2Si (PBE-GGA). Values from VASP.

Geometry as Quantum ESPRESSO input:
```
&SYSTEM
  ibrav = 0, nat = 5, ntyp = 4
/
ATOMIC_SPECIES
Rb 85.47 Rb.upf
Na 22.99 Na.upf
Li 6.94 Li.upf
Si 28.09 Si.upf
ATOMIC_POSITIONS crystal
Rb 0.000 0.000 0.000
Na 0.500 0.500 0.000
Li 0.000 0.500 0.500
Li 0.500 0.000 0.500
Si 0.500 0.500 0.500
CELL_PARAMETERS angstrom
5.161 0.000 0.000
0.000 5.161 0.000
0.000 0.000 5.641
```

Values from the calculation:
The value obtained for the formation energy (no corrections) is 3 kJ/mol of formula units.

=====

(13)
Entry from Alexandria via LeMat-Bulk: an optimized crystal structure of RbNa2LiSn (PBE-GGA). Values from VASP.

Geometry as Quantum ESPRESSO input:
```
&SYSTEM
  ibrav = 0, nat = 5, ntyp = 4
/
ATOMIC_SPECIES
Rb 85.47 Rb.upf
Na 22.99 Na.upf
Li 6.94 Li.upf
Sn 118.71 Sn.upf
ATOMIC_POSITIONS crystal
Rb 0.000 0.000 0.000
Na 0.000 0.500 0.500
Na 0.500 0.000 0.500
Li 0.500 0.500 0.500
Sn 0.500 0.500 0.000
CELL_PARAMETERS angstrom
5.810 0.000 0.000
0.000 5.810 0.000
0.000 0.000 5.197
```

Values from the calculation:
For the formation energy, the calculation gives -0.029 eV/atom. The calculation puts the energy above the lowest structure with this stoichiometry at 0.41 eV/f.u.

=====

Total energy for the records above, in order: -1.1092, -1.1594, -1.2520, -1.2404, -1.2982, -1.3239, -1.2864, -2.4208, -2.1717, -2.0970, -3.1521, -2.3017, -1.9332 eV/atom